# 1
Below is Li2SiW after structural relaxation, with properties calculated at the PBE level.

## Properties
Magnetization ... 0.00 μB per atom
Formation energy (no corrections) ... 80 meV per atom
Final energy ... -5.471 eV per atom

Unit cell a=2.739 b=4.352 c=4.797 alpha=90.00 beta=90.00 gamma=90.00
Space group Pmmm (No. 47)
Unique sites:
1 Li 0.000 0.000 0.000 (multiplicity 1)
2 Li 0.500 0.500 0.000 (multiplicity 1)
3 Si 0.000 0.500 0.500 (multiplicity 1)
4 W 0.500 0.000 0.500 (multiplicity 1)



# 2
Below is LiSi2W2 after structural relaxation, with properties calculated at the PBE level.

## Properties
Magnetization ... 0.00 μB per atom
Energy above the lowest structure with this stoichiometry ... 11.17 kcal/mol of atoms
Formation energy (no corrections) ... 388 meV per atom
Final energy ... -7.345 eV per atom

Unit cell a=4.703 b=4.703 c=8.049 alpha=90.00 beta=90.00 gamma=90.00
Space group I4/mmm (No. 139)
Unique sites:
1 Li 0.000 0.000 0.000 (multiplicity 2)
2 Si 0.000 0.500 0.250 (multiplicity 4)
3 W 0.000 0.000 0.351 (multiplicity 4)



# 3
Below is LiSiW after structural relaxation, with properties calculated at the PBE level.

## Properties
Magnetization ... 0.00 μB per atom
Energy above the lowest structure with this stoichiometry ... 2.09 kcal/mol of atoms
Formation energy (no corrections) ... 199 meV per atom
Final energy ... -6.565 eV per atom

Unit cell a=2.8097 b=2.8097 c=6.7221 alpha=90.00 beta=90.00 gamma=120.00
Space group P3m1 (No. 156)
Unique sites:
1 Li 0.0000 0.0000 0.0000 (multiplicity 1)
2 Si 0.6667 0.3333 0.3266 (multiplicity 1)
3 W 0.3333 0.6667 0.6339 (multiplicity 1)



# 4
Below is Li2SiW after structural relaxation, with properties calculated at the PBE level.

## Properties
Magnetization ... 0.00 μB per atom
Formation energy (no corrections) ... 238 meV per atom
Final energy ... -5.313 eV per atom

Unit cell a=2.7156 b=2.7156 c=28.0315 alpha=90.00 beta=90.00 gamma=120.00
Space group R-3m (No. 166, hexagonal axes)
Unique sites:
1 Li 0.0000 0.0000 0.2442 (multiplicity 6)
2 Si 0.0000 0.0000 0.5000 (multiplicity 3)
3 W 0.0000 0.0000 0.0000 (multiplicity 3)



# 5
Below is Li2SiW after structural relaxation, with properties calculated at the PBE level.

## Properties
Magnetization ... 0.00 μB per atom
Formation energy (no corrections) ... 118 meV per atom
Final energy ... -5.433 eV per atom

Unit cell a=2.694 b=2.694 c=8.705 alpha=90.00 beta=90.00 gamma=90.00
Space group P4mm (No. 99)
Unique sites:
1 Li 0.000 0.000 0.000 (multiplicity 1)
2 Li 0.500 0.500 0.302 (multiplicity 1)
3 Si 0.000 0.000 0.526 (multiplicity 1)
4 W 0.500 0.500 0.743 (multiplicity 1)



# 6
Below is Li2SiW after structural relaxation, with properties calculated at the PBE level.

## Properties
Magnetization ... 0.00 μB per atom
Formation energy (no corrections) ... 278 meV per atom
Final energy ... -5.273 eV per atom

Unit cell a=2.675 b=4.409 c=4.997 alpha=90.00 beta=90.00 gamma=90.00
Space group Pmmm (No. 47)
Unique sites:
1 Li 0.000 0.000 0.250 (multiplicity 2)
2 Si 0.500 0.500 0.000 (multiplicity 1)
3 W 0.500 0.500 0.500 (multiplicity 1)



# 7
Below is LiSi2W2 after structural relaxation, with properties calculated at the PBE level.

## Properties
Magnetization ... 0.00 μB per atom
Energy above the lowest structure with this stoichiometry ... 5.94 kcal/mol of atoms
Formation energy (no corrections) ... 161 meV per atom
Final energy ... -7.573 eV per atom

Unit cell a=6.991 b=6.991 c=3.101 alpha=90.00 beta=90.00 gamma=90.00
Space group P4/mbm (No. 127)
Unique sites:
1 Li 0.000 0.000 0.000 (multiplicity 2)
2 Si 0.146 0.354 0.500 (multiplicity 4)
3 W 0.146 0.646 0.000 (multiplicity 4)



# 8
Below is Li2SiW after structural relaxation, with properties calculated at the PBE level.

## Properties
Magnetization ... 0.00 μB per atom
Formation energy (no corrections) ... 134 meV per atom
Final energy ... -5.417 eV per atom

Unit cell a=2.7925 b=2.7925 c=27.9146 alpha=90.00 beta=90.00 gamma=120.00
Space group R3m (No. 160, hexagonal axes)
Unique sites:
1 Li 0.0000 0.0000 0.0000 (multiplicity 3)
2 Li 0.0000 0.0000 0.2412 (multiplicity 3)
3 Si 0.0000 0.0000 0.7445 (multiplicity 3)
4 W 0.0000 0.0000 0.4871 (multiplicity 3)



# 9
Below is Li2Si4W after structural relaxation, with properties calculated at the PBE level.

## Properties
Magnetization ... 0.00 μB per atom
Formation energy (no corrections) ... 438 meV per atom
Final energy ... -5.058 eV per atom

Unit cell a=4.706 b=4.706 c=13.086 alpha=90.00 beta=90.00 gamma=90.00
Space group I4/mmm (No. 139)
Unique sites:
1 Li 0.000 0.000 0.120 (multiplicity 4)
2 Si 0.000 0.000 0.311 (multiplicity 4)
3 Si 0.000 0.500 0.000 (multiplicity 4)
4 W 0.000 0.000 0.500 (multiplicity 2)



# 10
Below is LiSiW after structural relaxation, with properties calculated at the PBE level.

## Properties
Magnetization ... 0.00 μB per atom
Energy above the lowest structure with this stoichiometry ... 1.25 kcal/mol of atoms
Formation energy (no corrections) ... 162 meV per atom
Final energy ... -6.601 eV per atom

Unit cell a=3.172 b=4.420 c=12.989 alpha=90.00 beta=90.00 gamma=90.00
Space group Fmm2 (No. 42)
Unique sites:
1 Li 0.000 0.000 0.000 (multiplicity 4)
2 Si 0.000 0.000 0.336 (multiplicity 4)
3 W 0.000 0.000 0.683 (multiplicity 4)



# 11
Below is Li2SiW after structural relaxation, with properties calculated at the PBE level.

## Properties
Magnetization ... 0.00 μB per atom
Formation energy (no corrections) ... 617 meV per atom
Final energy ... -4.934 eV per atom

Unit cell a=6.877 b=6.877 c=4.901 alpha=90.00 beta=90.00 gamma=90.00
Space group I-42d (No. 122)
Unique sites:
1 Li 0.222 0.250 0.125 (multiplicity 8)
2 Si 0.000 0.000 0.000 (multiplicity 4)
3 W 0.000 0.000 0.500 (multiplicity 4)



# 12
Below is LiSiW after structural relaxation, with properties calculated at the PBE level.

## Properties
Magnetization ... 0.00 μB per atom
Energy above the lowest structure with this stoichiometry ... 16.55 kcal/mol of atoms
Formation energy (no corrections) ... 826 meV per atom
Final energy ... -5.938 eV per atom

Unit cell a=5.844 b=5.844 c=5.844 alpha=90.00 beta=90.00 gamma=90.00
Space group F-43m (No. 216)
Unique sites:
1 Li 0.000 0.000 0.000 (multiplicity 4)
2 Si 0.000 0.000 0.500 (multiplicity 4)
3 W 0.250 0.250 0.250 (multiplicity 4)



# 13
Below is LiYSi after structural relaxation, with properties calculated at the PBE level.

## Properties
Magnetization ... 0.00 μB per atom
Energy above the lowest structure with this stoichiometry ... 3.13 kcal/mol of atoms
Formation energy (no corrections) ... -477 meV per atom
Final energy ... -5.077 eV per atom

Unit cell a=10.065 b=4.428 c=7.208 alpha=90.00 beta=133.61 gamma=90.00
Space group C2/m (No. 12)
Unique sites:
1 Li 0.079 0.000 0.250 (multiplicity 4)
2 Y 0.238 0.000 0.775 (multiplicity 4)
3 Si 0.014 0.500 0.345 (multiplicity 4)



# 14
Below is LiYSi after structural relaxation, with properties calculated at the PBE level.

## Properties
Magnetization ... 0.00 μB per atom
Energy above the lowest structure with this stoichiometry ... 1.46 kcal/mol of atoms
Formation energy (no corrections) ... -550 meV per atom
Final energy ... -5.150 eV per atom

Unit cell a=4.9267 b=4.9267 c=5.8853 alpha=90.00 beta=90.00 gamma=120.00
Space group P6_3/mmc (No. 194)
Unique sites:
1 Li 0.0000 0.0000 0.0000 (multiplicity 2)
2 Y 0.3333 0.6667 0.2500 (multiplicity 2)
3 Si 0.3333 0.6667 0.7500 (multiplicity 2)



# 15
Below is LiY3Si after structural relaxation, with properties calculated at the PBE level.

## Properties
Magnetization ... 0.47 μB per atom
Energy above the lowest structure with this stoichiometry ... 0.00 kcal/mol of atoms
Formation energy (no corrections) ... 11 meV per atom
Final energy ... -5.335 eV per atom

Unit cell a=5.485 b=5.485 c=5.485 alpha=90.00 beta=90.00 gamma=90.00
Space group Pm-3m (No. 221)
Unique sites:
1 Li 0.000 0.000 0.000 (multiplicity 1)
2 Y 0.000 0.500 0.500 (multiplicity 3)
3 Si 0.500 0.500 0.500 (multiplicity 1)



no.,N(E_F) (states/eV/f.u.)
1,2.37
2,1.31
3,1.50
4,2.07
5,0.71
6,3.38
7,3.28
8,0.30
9,4.23
10,2.00
11,2.36
12,2.66
13,0.72
14,0.32
15,6.00